The following is a DFT calculation (PBE) of an optimized crystal structure of LiFeTc2W.

abc: 4.4042 4.4042 3.8611
angles: 90.00 90.00 90.00
With the nearest neighbours (Å) after each atom.
Positions (direct):
Li1 0.0000 0.0000 0.0000  2 Fe 1.93
Fe1 0.0000 0.0000 0.5000  2 Li 1.93
Tc1 0.0000 0.5000 0.5000  2 Fe 2.20
Tc2 0.5000 0.0000 0.5000  2 Fe 2.20
W1 0.5000 0.5000 0.0000  8 Tc 2.93, 4 Li 3.11

Properties
**Calculated volume**: 74.9 Å³/cell
**N(E_F)**: 1.001 states/eV/atom
**Size of the total moment**: 0.00 μB/cell
**Formation enthalpy at 0 K**: 1.204 eV per atom
**Raw total energy**: -7.61 eV per atom



The following is a DFT calculation (PBE) of an optimized crystal structure of NdDy3Mg2.

abc: 3.6842 3.6842 12.9605
angles: 90.00 90.00 90.00
With the nearest neighbours (Å) after each atom.
Positions (direct):
Nd1 0.0000 0.0000 0.0000  8 Dy 3.62, 4 Nd 3.68
Dy1 0.5000 0.5000 0.1940  4 Mg 3.29, 4 Nd 3.62
Dy2 0.5000 0.5000 0.5000  8 Mg 3.26
Dy3 0.5000 0.5000 0.8060  4 Mg 3.29, 4 Nd 3.62
Mg1 0.0000 0.0000 0.3487  8 Dy 3.26-3.29
Mg2 0.0000 0.0000 0.6513  8 Dy 3.26-3.29

Properties
**Calculated volume**: 175.9 Å³/cell
**N(E_F)**: 1.338 states/eV/atom
**Size of the total moment**: 0.00 μB/cell
**Formation enthalpy at 0 K**: -0.043 eV per atom
**Raw total energy**: -3.67 eV per atom



The following is a DFT calculation (PBE) of an optimized crystal structure of Cd2Ag8Au3.

abc: 10.7764 10.7764 10.7764
angles: 29.11 29.11 29.11
With the nearest neighbours (Å) after each atom.
Positions (direct):
Cd1 0.1387 0.1387 0.1387  4 Ag 2.73-2.89
Cd2 0.8613 0.8613 0.8613  4 Ag 2.73-2.89
Ag1 0.2264 0.2264 0.7271  4 Ag 2.70-2.71, 3 Au 2.85-3.02, 1 Cd 2.89
Ag2 0.2264 0.7271 0.2264  4 Ag 2.70-2.71, 3 Au 2.85-3.02, 1 Cd 2.89
Ag3 0.2270 0.2270 0.2270  1 Cd 2.73, 1 Au 2.76
Ag4 0.2729 0.7736 0.7736  4 Ag 2.70-2.71, 3 Au 2.85-3.02, 1 Cd 2.89
Ag5 0.7271 0.2264 0.2264  4 Ag 2.70-2.71, 3 Au 2.85-3.02, 1 Cd 2.89
Ag6 0.7730 0.7730 0.7730  1 Cd 2.73, 1 Au 2.76
Ag7 0.7736 0.2729 0.7736  4 Ag 2.70-2.71, 3 Au 2.85-3.02, 1 Cd 2.89
Ag8 0.7736 0.7736 0.2729  4 Ag 2.70-2.71, 3 Au 2.85-3.02, 1 Cd 2.89
Au1 0.3162 0.3162 0.3162  10 Ag 2.76-3.02
Au2 0.5000 0.5000 0.5000  6 Cd 3.25
Au3 0.6838 0.6838 0.6838  10 Ag 2.76-3.02

Properties
**Calculated volume**: 262.1 Å³/cell
**N(E_F)**: 0.319 states/eV/atom
**Size of the total moment**: 0.00 μB/cell
**Formation enthalpy at 0 K**: 0.126 eV per atom
**Raw total energy**: -2.53 eV per atom